A.
Material: NpPd6Au2
Method: DFT, GGA-PBE
State: optimized geometry

Crystal system ... monoclinic
Calculated volume ... 307.21 Å³/cell

a = 7.602 Å, b = 4.885 Å, c = 8.377 Å
α = 90.00°, β = 99.09°, γ = 90.00°
Space group C2/m (No. 12)
Unique sites:
Np: 0.000 0.000 0.000 x2
Pd: 0.000 0.000 0.323 x4
Pd: 0.164 0.500 0.118 x4
Pd: 0.172 0.500 0.787 x4
Au: 0.167 0.500 0.448 x4

B.
Material: NpPd6Au2
Method: DFT, GGA-PBE
State: optimized geometry

Crystal system ... trigonal
Calculated volume ... 154.18 Å³/cell

a = 7.9434 Å, b = 7.9434 Å, c = 2.8215 Å
α = 90.00°, β = 90.00°, γ = 120.00°
Space group P-31m (No. 162)
Unique sites:
Np: 0.0000 0.0000 0.0000 x1
Pd: 0.0000 0.3313 0.2176 x6
Au: 0.3333 0.6667 0.5000 x2

Most stable: A

A.
Material: NpPd3Au
Method: DFT, GGA-PBE
State: optimized geometry

Crystal system ... orthorhombic
Calculated volume ... 395.58 Å³/cell

a = 5.297 Å, b = 7.660 Å, c = 9.750 Å
α = 90.00°, β = 90.00°, γ = 90.00°
Space group Imma (No. 74)
Unique sites:
Np: 0.000 0.250 0.003 x4
Pd: 0.000 0.063 0.782 x8
Pd: 0.250 0.250 0.250 x4
Au: 0.000 0.000 0.500 x4

B.
Material: NpPd3Au
Method: DFT, GGA-PBE
State: optimized geometry

Crystal system ... triclinic
Calculated volume ... 178.37 Å³/cell

a = 5.206 Å, b = 5.747 Å, c = 6.542 Å
α = 100.01°, β = 99.50°, γ = 107.91°
Space group P-1 (No. 2)
Unique sites:
Np: 0.211 0.386 0.389 x2
Pd: 0.000 0.000 0.000 x1
Pd: 0.000 0.500 0.000 x1
Pd: 0.215 0.890 0.394 x2
Pd: 0.376 0.300 0.800 x2
Au: 0.390 0.809 0.809 x2

Most stable: B

A.
Material: NpPdRhAu
Method: DFT, GGA-PBE
State: optimized geometry

Crystal system ... cubic
Calculated volume ... 291.77 Å³/cell

a = 6.633 Å, b = 6.633 Å, c = 6.633 Å
α = 90.00°, β = 90.00°, γ = 90.00°
Space group F-43m (No. 216)
Unique sites:
Np: 0.000 0.000 0.000 x4
Pd: 0.250 0.250 0.750 x4
Rh: 0.250 0.250 0.250 x4
Au: 0.000 0.000 0.500 x4

B.
Material: NpPdRhAu
Method: DFT, GGA-PBE
State: optimized geometry

Crystal system ... orthorhombic
Calculated volume ... 72.29 Å³/cell

a = 3.900 Å, b = 4.147 Å, c = 4.470 Å
α = 90.00°, β = 90.00°, γ = 90.00°
Space group Pmmm (No. 47)
Unique sites:
Np: 0.000 0.000 0.000 x1
Pd: 0.500 0.000 0.500 x1
Rh: 0.500 0.500 0.000 x1
Au: 0.000 0.500 0.500 x1

Most stable: B

A.
Material: NpPt6Au
Method: DFT, GGA-PBE
State: optimized geometry

Crystal system ... hexagonal
Calculated volume ... 136.33 Å³/cell

a = 5.7594 Å, b = 5.7594 Å, c = 4.7442 Å
α = 90.00°, β = 90.00°, γ = 120.00°
Space group P-6m2 (No. 187)
Unique sites:
Np: 0.0000 0.0000 0.0000 x1
Pt: 0.0027 0.5014 0.0000 x3
Pt: 0.1695 0.3390 0.5000 x3
Au: 0.6667 0.3333 0.5000 x1

B.
Material: NpPt6Au
Method: DFT, GGA-PBE
State: optimized geometry

Crystal system ... cubic
Calculated volume ... 140.44 Å³/cell

a = 5.198 Å, b = 5.198 Å, c = 5.198 Å
α = 90.00°, β = 90.00°, γ = 90.00°
Space group Pm-3 (No. 200)
Unique sites:
Np: 0.000 0.000 0.000 x1
Pt: 0.000 0.251 0.500 x6
Au: 0.500 0.500 0.500 x1

Most stable: A

A.
Material: NpSbAu4
Method: DFT, GGA-PBE
State: optimized geometry

Crystal system ... cubic
Calculated volume ... 514.15 Å³/cell

a = 8.011 Å, b = 8.011 Å, c = 8.011 Å
α = 90.00°, β = 90.00°, γ = 90.00°
Space group F-43m (No. 216)
Unique sites:
Np: 0.000 0.000 0.000 x4
Sb: 0.250 0.250 0.750 x4
Au: 0.125 0.125 0.375 x16

B.
Material: NpSbAu4
Method: DFT, GGA-PBE
State: optimized geometry

Crystal system ... hexagonal
Calculated volume ... 128.38 Å³/cell

a = 4.8918 Å, b = 4.8918 Å, c = 6.1946 Å
α = 90.00°, β = 90.00°, γ = 120.00°
Space group P6/mmm (No. 191)
Unique sites:
Np: 0.0000 0.0000 0.0000 x1
Sb: 0.0000 0.0000 0.5000 x1
Au: 0.3333 0.6667 0.2455 x4

Most stable: B

A.
Material: NpSnAu6
Method: DFT, GGA-PBE
State: optimized geometry

Crystal system ... triclinic
Calculated volume ... 166.82 Å³/cell

a = 4.916 Å, b = 5.102 Å, c = 7.673 Å
α = 82.42°, β = 89.89°, γ = 61.25°
Space group P-1 (No. 2)
Unique sites:
Np: 0.000 0.000 0.000 x1
Sn: 0.500 0.000 0.500 x1
Au: 0.143 0.714 0.417 x2
Au: 0.310 0.381 0.784 x2
Au: 0.347 0.305 0.151 x2

B.
Material: NpSnAu6
Method: DFT, GGA-PBE
State: optimized geometry

Crystal system ... orthorhombic
Calculated volume ... 330.00 Å³/cell

a = 4.891 Å, b = 7.100 Å, c = 9.503 Å
α = 90.00°, β = 90.00°, γ = 90.00°
Space group Amm2 (No. 38)
Unique sites:
Np: 0.000 0.000 0.000 x2
Sn: 0.500 0.000 0.262 x2
Au: 0.000 0.000 0.427 x2
Au: 0.000 0.199 0.713 x4
Au: 0.500 0.000 0.805 x2
Au: 0.500 0.213 0.533 x4

Most stable: A

A.
Material: NpSnAu4
Method: DFT, GGA-PBE
State: optimized geometry

Crystal system ... triclinic
Calculated volume ... 128.54 Å³/cell

a = 4.327 Å, b = 5.007 Å, c = 6.714 Å
α = 79.09°, β = 90.00°, γ = 64.66°
Space group P-1 (No. 2)
Unique sites:
Np: 0.000 0.000 0.000 x1
Sn: 0.000 0.000 0.500 x1
Au: 0.333 0.334 0.689 x2
Au: 0.341 0.319 0.197 x2

B.
Material: NpSnAu4
Method: DFT, GGA-PBE
State: optimized geometry

Crystal system ... cubic
Calculated volume ... 511.40 Å³/cell

a = 7.997 Å, b = 7.997 Å, c = 7.997 Å
α = 90.00°, β = 90.00°, γ = 90.00°
Space group F-43m (No. 216)
Unique sites:
Np: 0.000 0.000 0.000 x4
Sn: 0.250 0.250 0.250 x4
Au: 0.125 0.125 0.625 x16

Most stable: A

A.
Material: NpTeAu
Method: DFT, GGA-PBE
State: optimized geometry

Crystal system ... cubic
Calculated volume ... 359.46 Å³/cell

a = 7.110 Å, b = 7.110 Å, c = 7.110 Å
α = 90.00°, β = 90.00°, γ = 90.00°
Space group F-43m (No. 216)
Unique sites:
Np: 0.000 0.000 0.000 x4
Te: 0.250 0.250 0.750 x4
Au: 0.250 0.250 0.250 x4

B.
Material: NpTeAu
Method: DFT, GGA-PBE
State: optimized geometry

Crystal system ... tetragonal
Calculated volume ... 147.68 Å³/cell

a = 3.885 Å, b = 3.885 Å, c = 9.783 Å
α = 90.00°, β = 90.00°, γ = 90.00°
Space group I4mm (No. 107)
Unique sites:
Np: 0.000 0.000 0.000 x2
Te: 0.000 0.000 0.669 x2
Au: 0.000 0.000 0.341 x2

Most stable: B

A.
Material: Th2NpAu
Method: DFT, GGA-PBE
State: optimized geometry

Crystal system ... tetragonal
Calculated volume ... 106.31 Å³/cell

a = 3.765 Å, b = 3.765 Å, c = 7.499 Å
α = 90.00°, β = 90.00°, γ = 90.00°
Space group P4/mmm (No. 123)
Unique sites:
Th: 0.000 0.000 0.242 x2
Np: 0.500 0.500 0.500 x1
Au: 0.500 0.500 0.000 x1

B.
Material: Th2NpAu
Method: DFT, GGA-PBE
State: optimized geometry

Crystal system ... tetragonal
Calculated volume ... 103.40 Å³/cell

a = 5.490 Å, b = 5.490 Å, c = 3.431 Å
α = 90.00°, β = 90.00°, γ = 90.00°
Space group P4/mmm (No. 123)
Unique sites:
Th: 0.000 0.500 0.000 x2
Np: 0.000 0.000 0.500 x1
Au: 0.500 0.500 0.500 x1

Most stable: B

A.
Material: NpZn2Au8
Method: DFT, GGA-PBE
State: optimized geometry

Crystal system ... monoclinic
Calculated volume ... 430.72 Å³/cell

a = 8.143 Å, b = 12.659 Å, c = 4.725 Å
α = 90.00°, β = 117.84°, γ = 90.00°
Space group C2/m (No. 12)
Unique sites:
Np: 0.000 0.000 0.000 x2
Zn: 0.000 0.320 0.500 x4
Au: 0.000 0.233 0.000 x4
Au: 0.100 0.500 0.828 x4
Au: 0.197 0.128 0.629 x8

B.
Material: NpZn2Au8
Method: DFT, GGA-PBE
State: optimized geometry

Crystal system ... monoclinic
Calculated volume ... 413.04 Å³/cell

a = 14.351 Å, b = 4.288 Å, c = 7.338 Å
α = 90.00°, β = 113.83°, γ = 90.00°
Space group C2/m (No. 12)
Unique sites:
Np: 0.000 0.000 0.000 x2
Zn: 0.225 0.500 0.687 x4
Au: 0.044 0.500 0.728 x4
Au: 0.102 0.000 0.472 x4
Au: 0.157 0.500 0.271 x4
Au: 0.186 0.000 0.902 x4

Most stable: B

A.
Material: NpZn9Au2
Method: DFT, GGA-PBE
State: optimized geometry

Crystal system ... tetragonal
Calculated volume ... 802.40 Å³/cell

a = 10.734 Å, b = 10.734 Å, c = 6.965 Å
α = 90.00°, β = 90.00°, γ = 90.00°
Space group I4_1/amd (No. 141, origin choice 2)
Unique sites:
Np: 0.000 0.250 0.375 x4
Zn: 0.000 0.250 0.875 x4
Zn: 0.121 0.043 0.671 x32
Au: 0.000 0.000 0.000 x8

B.
Material: NpZn9Au2
Method: DFT, GGA-PBE
State: optimized geometry

Crystal system ... hexagonal
Calculated volume ... 202.24 Å³/cell

a = 8.8775 Å, b = 8.8775 Å, c = 2.9632 Å
α = 90.00°, β = 90.00°, γ = 120.00°
Space group P6/mmm (No. 191)
Unique sites:
Np: 0.0000 0.0000 0.0000 x1
Zn: 0.0000 0.5000 0.0000 x3
Zn: 0.1793 0.3585 0.5000 x6
Au: 0.3333 0.6667 0.0000 x2

Most stable: A

A.
Material: Zr2NpAu
Method: DFT, GGA-PBE
State: optimized geometry

Crystal system ... tetragonal
Calculated volume ... 83.61 Å³/cell

a = 5.114 Å, b = 5.114 Å, c = 3.197 Å
α = 90.00°, β = 90.00°, γ = 90.00°
Space group P4/mmm (No. 123)
Unique sites:
Zr: 0.000 0.500 0.000 x2
Np: 0.000 0.000 0.500 x1
Au: 0.500 0.500 0.500 x1

B.
Material: Zr2NpAu
Method: DFT, GGA-PBE
State: optimized geometry

Crystal system ... tetragonal
Calculated volume ... 87.27 Å³/cell

a = 3.300 Å, b = 3.300 Å, c = 8.015 Å
α = 90.00°, β = 90.00°, γ = 90.00°
Space group P4/mmm (No. 123)
Unique sites:
Zr: 0.000 0.000 0.232 x2
Np: 0.500 0.500 0.500 x1
Au: 0.500 0.500 0.000 x1

Most stable: A